1.
The following is a PBEsol calculation of a relaxed BaRe2Tc crystal, from Alexandria.

Magnetization   0.00 μB/f.u.
Crystal system   tetragonal
Volume   79.81 Å³/cell
DFT formation energy   0.758 eV per atom
SG   P4mm (99)

a = 3.1584 Å, b = 3.1584 Å, c = 8.0010 Å
α = 90.00°, β = 90.00°, γ = 90.00°
Fractional coordinates of all 4 atoms:
Re 0.5000 0.5000 0.2518
Ba 0.5000 0.5000 0.7516
Re 0.0000 0.0000 0.0796
Tc 0.0000 0.0000 0.4170



2.
The following is a PBEsol calculation of a relaxed BaRe2Tc crystal, from Alexandria.

Magnetization   0.00 μB/f.u.
Crystal system   tetragonal
Volume   74.68 Å³/cell
DFT formation energy   0.871 eV per atom
SG   P4/mmm (123)

a = 2.8801 Å, b = 2.8801 Å, c = 9.0033 Å
α = 90.00°, β = 90.00°, γ = 90.00°
Fractional coordinates of all 4 atoms:
Tc 0.5000 0.5000 0.0000
Re 0.0000 0.0000 0.8085
Ba 0.5000 0.5000 0.5000
Re 0.0000 0.0000 0.1915



3.
The following is a PBEsol calculation of a relaxed BaRe2Te crystal, from Alexandria.

Magnetization   0.00 μB/f.u.
Crystal system   trigonal
Volume   101.62 Å³/cell
Calculated total energy   -7.97 eV per atom
SG   R3m (160)

a = 4.2909 Å, b = 4.2909 Å, c = 6.8379 Å
α = 71.71°, β = 71.71°, γ = 60.00°
Fractional coordinates of all 4 atoms:
Re 0.9514 0.9514 0.1459
Te 0.5331 0.5331 0.4006
Re 0.2633 0.2633 0.2101
Ba 0.7422 0.7422 0.7733



4.
The following is a PBEsol calculation of a relaxed Ba2ReTe crystal, from Alexandria.

Magnetization   3.06 μB/f.u.
Crystal system   tetragonal
Volume   131.86 Å³/cell
Calculated total energy   -4.91 eV per atom
SG   P4/mmm (123)

a = 4.0873 Å, b = 4.0873 Å, c = 7.8933 Å
α = 90.00°, β = 90.00°, γ = 90.00°
Fractional coordinates of all 4 atoms:
Te 0.5000 0.5000 0.5000
Re 0.5000 0.5000 0.0000
Ba 0.0000 0.0000 0.2461
Ba 0.0000 0.0000 0.7539



5.
The following is a PBEsol calculation of a relaxed Ba2ReTe crystal, from Alexandria.

Magnetization   2.49 μB/f.u.
Crystal system   cubic
Volume   114.64 Å³/cell
Calculated total energy   -4.67 eV per atom
SG   F-43m (216)

a = 5.4527 Å, b = 5.4527 Å, c = 5.4527 Å
α = 60.00°, β = 60.00°, γ = 60.00°
Fractional coordinates of all 4 atoms:
Re 0.5000 0.5000 0.5000
Ba 0.7500 0.7500 0.7500
Te 0.2500 0.2500 0.2500
Ba 0.0000 0.0000 0.0000



6.
The following is a PBEsol calculation of a relaxed BaReTe3 crystal, from Alexandria.

Magnetization   5.34 μB/f.u.
Crystal system   cubic
Volume   245.02 Å³/cell
Calculated total energy   -3.46 eV per atom
SG   Pm-3m (221)

a = 6.2575 Å, b = 6.2575 Å, c = 6.2575 Å
α = 90.00°, β = 90.00°, γ = 90.00°
Fractional coordinates of all 5 atoms:
Re 0.5000 0.5000 0.5000
Ba 0.0000 0.0000 0.0000
Te 0.5000 0.0000 0.0000
Te 0.0000 0.5000 0.0000
Te 0.0000 0.0000 0.5000



7.
The following is a PBEsol calculation of a relaxed BaReTe crystal, from Alexandria.

Magnetization   0.00 μB/f.u.
Crystal system   cubic
Volume   79.72 Å³/cell
Calculated total energy   -5.53 eV per atom
SG   F-43m (216)

a = 4.8309 Å, b = 4.8309 Å, c = 4.8309 Å
α = 60.00°, β = 60.00°, γ = 60.00°
Fractional coordinates of all 3 atoms:
Ba 0.5000 0.5000 0.5000
Re 0.7500 0.7500 0.7500
Te 0.0000 0.0000 0.0000



8.
The following is a PBEsol calculation of a relaxed BaReTe3 crystal, from Alexandria.

Magnetization   2.28 μB/f.u.
Crystal system   cubic
Volume   154.39 Å³/cell
Calculated total energy   -5.34 eV per atom
SG   Pm-3m (221)

a = 5.3646 Å, b = 5.3646 Å, c = 5.3646 Å
α = 90.00°, β = 90.00°, γ = 90.00°
Fractional coordinates of all 5 atoms:
Te 0.0000 0.0000 0.5000
Te 0.5000 0.0000 0.0000
Re 0.0000 0.0000 0.0000
Te 0.0000 0.5000 0.0000
Ba 0.5000 0.5000 0.5000



9.
The following is a PBEsol calculation of a relaxed BaTi2Re crystal, from Alexandria.

Magnetization   0.00 μB/f.u.
Crystal system   cubic
Volume   75.37 Å³/cell
DFT formation energy   0.780 eV per atom
SG   Fm-3m (225)

a = 4.7415 Å, b = 4.7415 Å, c = 4.7415 Å
α = 60.00°, β = 60.00°, γ = 60.00°
Fractional coordinates of all 4 atoms:
Re 0.5000 0.5000 0.5000
Ti 0.7500 0.7500 0.7500
Ba 0.0000 0.0000 0.0000
Ti 0.2500 0.2500 0.2500



10.
The following is a PBEsol calculation of a relaxed Ba3YRe crystal, from Alexandria.

Magnetization   4.19 μB/f.u.
Crystal system   cubic
Volume   224.77 Å³/cell
DFT formation energy   1.901 eV per atom
SG   Pm-3m (221)

a = 6.0801 Å, b = 6.0801 Å, c = 6.0801 Å
α = 90.00°, β = 90.00°, γ = 90.00°
Fractional coordinates of all 5 atoms:
Y 0.0000 0.0000 0.0000
Ba 0.0000 0.5000 0.0000
Re 0.5000 0.5000 0.5000
Ba 0.5000 0.0000 0.0000
Ba 0.0000 0.0000 0.5000



11.
The following is a PBEsol calculation of a relaxed BaYRe crystal, from Alexandria.

Magnetization   0.00 μB/f.u.
Crystal system   cubic
Volume   79.12 Å³/cell
DFT formation energy   1.784 eV per atom
SG   F-43m (216)

a = 4.8186 Å, b = 4.8186 Å, c = 4.8186 Å
α = 60.00°, β = 60.00°, γ = 60.00°
Fractional coordinates of all 3 atoms:
Y 0.5000 0.5000 0.5000
Ba 0.2500 0.2500 0.2500
Re 0.0000 0.0000 0.0000



12.
The following is a PBEsol calculation of a relaxed BaZnRe2 crystal, from Alexandria.

Magnetization   0.00 μB/f.u.
Crystal system   orthorhombic
Volume   88.51 Å³/cell
DFT formation energy   1.057 eV per atom
SG   Imm2 (44)

a = 3.2090 Å, b = 5.5298 Å, c = 5.9243 Å
α = 117.82°, β = 105.71°, γ = 90.00°
Fractional coordinates of all 4 atoms:
Re 0.9429 0.9429 0.8857
Ba 0.7430 0.2430 0.4861
Zn 0.5446 0.5446 0.0892
Re 0.2695 0.7695 0.5390



13.
The following is a PBEsol calculation of a relaxed Ba3ZnRe crystal, from Alexandria.

Magnetization   0.00 μB/f.u.
Crystal system   cubic
Volume   196.40 Å³/cell
DFT formation energy   0.752 eV per atom
SG   Pm-3m (221)

a = 5.8128 Å, b = 5.8128 Å, c = 5.8128 Å
α = 90.00°, β = 90.00°, γ = 90.00°
Fractional coordinates of all 5 atoms:
Ba 0.5000 0.0000 0.0000
Re 0.0000 0.0000 0.0000
Ba 0.0000 0.0000 0.5000
Zn 0.5000 0.5000 0.5000
Ba 0.0000 0.5000 0.0000



14.
The following is a PBEsol calculation of a relaxed BaZr2Re crystal, from Alexandria.

Magnetization   0.00 μB/f.u.
Crystal system   orthorhombic
Volume   101.26 Å³/cell
DFT formation energy   0.564 eV per atom
SG   Immm (71)

a = 3.1925 Å, b = 5.9363 Å, c = 6.3174 Å
α = 118.02°, β = 104.64°, γ = 90.00°
Fractional coordinates of all 4 atoms:
Zr 0.1970 0.1970 0.3941
Zr 0.8030 0.8030 0.6059
Re 0.5000 0.0000 0.0000
Ba 0.0000 0.5000 0.0000



15.
The following is a PBEsol calculation of a relaxed Ba5Rh crystal, from Alexandria.

Magnetization   0.00 μB/f.u.
Crystal system   orthorhombic
Volume   276.04 Å³/cell
DFT formation energy   0.127 eV per atom
SG   Amm2 (38)

a = 4.3580 Å, b = 6.4247 Å, c = 10.0970 Å
α = 90.00°, β = 102.46°, γ = 90.00°
Fractional coordinates of all 6 atoms:
Ba 0.7304 0.5000 0.4608
Rh 0.1194 0.5000 0.2388
Ba 0.6445 0.0000 0.2890
Ba 0.9960 0.0000 0.9920
Ba 0.5173 0.5000 0.0346
Ba 0.3258 0.0000 0.6516



16.
The following is a PBEsol calculation of a relaxed Ba2Rh crystal, from Alexandria.

Magnetization   0.00 μB/f.u.
Crystal system   cubic
Volume   433.44 Å³/cell
DFT formation energy   -0.028 eV per atom
SG   Pa-3 (205)

a = 7.5679 Å, b = 7.5679 Å, c = 7.5679 Å
α = 90.00°, β = 90.00°, γ = 90.00°
Fractional coordinates of all 12 atoms:
Ba 0.3216 0.1784 0.8216
Rh 0.5000 0.0000 0.5000
Ba 0.8216 0.3216 0.1784
Rh 0.0000 0.0000 0.0000
Ba 0.6784 0.8216 0.1784
Rh 0.5000 0.5000 0.0000
Rh 0.0000 0.5000 0.5000
Ba 0.3216 0.3216 0.3216
Ba 0.6784 0.6784 0.6784
Ba 0.8216 0.1784 0.6784
Ba 0.1784 0.6784 0.8216
Ba 0.1784 0.8216 0.3216



17.
The following is a PBEsol calculation of a relaxed Ba5Rh3 crystal, from Alexandria.

Magnetization   0.00 μB/f.u.
Crystal system   hexagonal
Volume   495.70 Å³/cell
DFT formation energy   -0.029 eV per atom
SG   P6_3/mcm (193)

a = 7.0871 Å, b = 8.9869 Å, c = 8.9869 Å
α = 120.00°, β = 90.00°, γ = 90.00°
Fractional coordinates of all 16 atoms:
Rh 0.7500 0.0000 0.6147
Ba 0.7500 0.7332 0.7332
Ba 0.5000 0.3333 0.6667
Rh 0.7500 0.6147 0.0000
Rh 0.2500 0.3853 0.0000
Ba 0.5000 0.6667 0.3333
Ba 0.7500 0.0000 0.2668
Rh 0.2500 0.0000 0.3853
Rh 0.7500 0.3853 0.3853
Ba 0.2500 0.2668 0.2668
Ba 0.7500 0.2668 0.0000
Ba 0.2500 0.0000 0.7332
Ba 0.0000 0.3333 0.6667
Ba 0.2500 0.7332 0.0000
Rh 0.2500 0.6147 0.6147
Ba 0.0000 0.6667 0.3333



18.
The following is a PBEsol calculation of a relaxed BaRh crystal, from Alexandria.

Magnetization   0.30 μB/f.u.
Crystal system   tetragonal
Volume   116.46 Å³/cell
DFT formation energy   0.192 eV per atom
SG   P4/nmm (129)

a = 3.6382 Å, b = 3.6382 Å, c = 8.7987 Å
α = 90.00°, β = 90.00°, γ = 90.00°
Fractional coordinates of all 4 atoms:
Rh 0.5000 0.0000 0.4606
Ba 0.5000 0.0000 0.7778
Rh 0.0000 0.5000 0.5394
Ba 0.0000 0.5000 0.2222



19.
The following is a PBEsol calculation of a relaxed Ba2Rh crystal, from Alexandria.

Magnetization   0.00 μB/f.u.
Crystal system   orthorhombic
Volume   253.55 Å³/cell
DFT formation energy   0.007 eV per atom
SG   Cmcm (63)

a = 4.3518 Å, b = 6.1556 Å, c = 9.7119 Å
α = 90.00°, β = 102.95°, γ = 90.00°
Fractional coordinates of all 6 atoms:
Ba 0.6994 0.7500 0.3987
Ba 0.9195 0.7500 0.8390
Rh 0.3206 0.7500 0.6413
Ba 0.3006 0.2500 0.6013
Ba 0.0805 0.2500 0.1610
Rh 0.6794 0.2500 0.3587



20.
The following is a PBEsol calculation of a relaxed BaRh crystal, from Alexandria.

Magnetization   0.00 μB/f.u.
Crystal system   orthorhombic
Volume   146.10 Å³/cell
DFT formation energy   0.057 eV per atom
SG   Pmma (51)

a = 4.3681 Å, b = 4.4694 Å, c = 7.4835 Å
α = 90.00°, β = 90.00°, γ = 90.00°
Fractional coordinates of all 4 atoms:
Rh 0.5000 0.7500 0.0568
Rh 0.5000 0.2500 0.9432
Ba 0.0000 0.7500 0.7666
Ba 0.0000 0.2500 0.2334



21.
The following is a PBEsol calculation of a relaxed Ba5Rh crystal, from Alexandria.

Magnetization   0.00 μB/f.u.
Crystal system   monoclinic
Volume   277.63 Å³/cell
DFT formation energy   0.017 eV per atom
SG   C2/m (12)

a = 4.0449 Å, b = 7.4535 Å, c = 10.2783 Å
α = 69.53°, β = 78.65°, γ = 74.26°
Fractional coordinates of all 6 atoms:
Ba 0.6693 0.9369 0.7244
Ba 0.3886 0.3300 0.8929
Rh 0.0000 0.0000 0.0000
Ba 0.0000 0.5000 0.5000
Ba 0.6114 0.6700 0.1071
Ba 0.3307 0.0631 0.2756



22.
The following is a PBEsol calculation of a relaxed Ba2Rh crystal, from Alexandria.

Magnetization   0.00 μB/f.u.
Crystal system   monoclinic
Volume   206.80 Å³/cell
DFT formation energy   -0.025 eV per atom
SG   C2/m (12)

a = 4.2178 Å, b = 6.9961 Å, c = 7.3530 Å
α = 91.52°, β = 90.00°, γ = 107.54°
Fractional coordinates of all 6 atoms:
Ba 0.6320 0.2640 0.4774
Ba 0.3611 0.7223 0.2222
Rh 0.9732 0.9463 0.4804
Ba 0.3611 0.7223 0.7222
Ba 0.0903 0.1806 0.9671
Rh 0.7490 0.4980 0.9640



23.
The following is a PBEsol calculation of a relaxed Ba2Rh crystal, from Alexandria.

Magnetization   0.00 μB/f.u.
Crystal system   trigonal
Volume   122.18 Å³/cell
DFT formation energy   -0.043 eV per atom
SG   P-3m1 (164)

a = 4.4353 Å, b = 4.4353 Å, c = 7.1718 Å
α = 90.00°, β = 90.00°, γ = 120.00°
Fractional coordinates of all 3 atoms:
Ba 0.6667 0.3333 0.7736
Ba 0.3333 0.6667 0.2264
Rh 0.0000 0.0000 0.0000



24.
The following is a PBEsol calculation of a relaxed Ba4Rh crystal, from Alexandria.

Magnetization   0.00 μB/f.u.
Crystal system   tetragonal
Volume   220.77 Å³/cell
DFT formation energy   -0.008 eV per atom
SG   I4/m (87)

a = 3.9243 Å, b = 7.7529 Å, c = 7.7529 Å
α = 86.33°, β = 75.34°, γ = 75.34°
Fractional coordinates of all 5 atoms:
Ba 0.2633 0.2901 0.1833
Rh 0.0000 0.0000 0.0000
Ba 0.7367 0.7099 0.8167
Ba 0.4466 0.8167 0.2901
Ba 0.5534 0.1833 0.7099



25.
The following is a PBEsol calculation of a relaxed BaRh crystal, from Alexandria.

Magnetization   0.00 μB/f.u.
Crystal system   hexagonal
Volume   53.30 Å³/cell
DFT formation energy   0.485 eV per atom
SG   P-6m2 (187)

a = 3.7462 Å, b = 3.7462 Å, c = 4.3851 Å
α = 90.00°, β = 90.00°, γ = 120.00°
Fractional coordinates of all 2 atoms:
Ba 0.0000 0.0000 0.0000
Rh 0.3333 0.6667 0.5000



26.
The following is a PBEsol calculation of a relaxed Ba2Rh crystal, from Alexandria.

Magnetization   0.00 μB/f.u.
Crystal system   tetragonal
Volume   109.79 Å³/cell
DFT formation energy   -0.010 eV per atom
SG   I4/mmm (139)

a = 3.7886 Å, b = 3.7886 Å, c = 8.1044 Å
α = 103.52°, β = 103.52°, γ = 90.00°
Fractional coordinates of all 3 atoms:
Ba 0.1146 0.1146 0.2293
Ba 0.8854 0.8854 0.7707
Rh 0.5000 0.5000 0.0000



27.
The following is a PBEsol calculation of a relaxed Ba2Rh crystal, from Alexandria.

Magnetization   0.01 μB/f.u.
Crystal system   orthorhombic
Volume   233.99 Å³/cell
DFT formation energy   -0.032 eV per atom
SG   Pnnm (58)

a = 4.5900 Å, b = 7.1131 Å, c = 7.1668 Å
α = 90.00°, β = 90.00°, γ = 90.00°
Fractional coordinates of all 6 atoms:
Ba 0.0000 0.7296 0.3366
Ba 0.0000 0.2704 0.6634
Rh 0.5000 0.5000 0.5000
Ba 0.5000 0.7704 0.8366
Rh 0.0000 0.0000 0.0000
Ba 0.5000 0.2296 0.1634



28.
The following is a PBEsol calculation of a relaxed BaRh2 crystal, from Alexandria.

Magnetization   0.00 μB/f.u.
Crystal system   cubic
Volume   118.69 Å³/cell
DFT formation energy   -0.023 eV per atom
SG   Fd-3m (227)

a = 5.5163 Å, b = 5.5163 Å, c = 5.5163 Å
α = 60.00°, β = 60.00°, γ = 60.00°
Fractional coordinates of all 6 atoms:
Ba 0.7500 0.7500 0.7500
Rh 0.6250 0.1250 0.1250
Rh 0.1250 0.1250 0.1250
Rh 0.1250 0.6250 0.1250
Ba 0.5000 0.5000 0.5000
Rh 0.1250 0.1250 0.6250



29.
The following is a PBEsol calculation of a relaxed BaRh crystal, from Alexandria.

Magnetization   0.00 μB/f.u.
Crystal system   cubic
Volume   65.70 Å³/cell
DFT formation energy   0.792 eV per atom
SG   F-43m (216)

a = 4.5292 Å, b = 4.5292 Å, c = 4.5292 Å
α = 60.00°, β = 60.00°, γ = 60.00°
Fractional coordinates of all 2 atoms:
Ba 0.0000 0.0000 0.0000
Rh 0.2500 0.2500 0.2500